No. 1
Density functional theory data (PBE-GGA) for Na2ZnAs2 after structural relaxation.

Cell: 5.6680 5.6680 8.6346 Å, 90.00 90.00 90.00°
Last column: nearest neighbours and their distance in Å.
Space group I4/mmm (No. 139)
Unique sites:
Na: 0.0000 0.5000 0.2500 [4 per cell]  4 As 3.00
Zn: 0.0000 0.0000 0.0000 [2 per cell]  2 As 3.15
As: 0.0000 0.0000 0.3646 [4 per cell]  1 As 2.34

Values from the calculation:
ΔE to the lowest computed polymorph (meV/atom): 394



No. 2
Density functional theory data (PBE-GGA) for Na3ZnAs2 after structural relaxation.

Cell: 6.1997 14.8940 6.0245 Å, 90.00 90.00 90.00°
Last column: nearest neighbours and their distance in Å.
Space group Ibam (No. 72)
Unique sites:
Na: 0.0000 0.0000 0.2500 [4 per cell]  4 As 2.92, 2 Na 3.01, 2 Zn 3.10
Na: 0.2431 0.1824 0.0000 [8 per cell]  4 As 3.04-3.19
Zn: 0.0000 0.5000 0.2500 [4 per cell]  4 As 2.60
As: 0.2048 0.3857 0.0000 [8 per cell]  2 Zn 2.60



No. 3
Density functional theory data (PBE-GGA) for Na2ZnAs2 after structural relaxation.

Cell: 6.7516 6.7516 4.8009 Å, 90.00 90.00 90.00°
Last column: nearest neighbours and their distance in Å.
Space group P4/mbm (No. 127)
Unique sites:
Na: 0.1694 0.3306 0.0000 [4 per cell]  6 As 3.04-3.17, 1 Na 3.24
Zn: 0.0000 0.0000 0.5000 [2 per cell]  4 As 2.63
As: 0.1352 0.6352 0.5000 [4 per cell]  1 As 2.58, 2 Zn 2.63

Values from the calculation:
ΔE to the lowest computed polymorph (meV/atom): 61



No. 4
Density functional theory data (PBE-GGA) for Na2ZnAs2 after structural relaxation.

Cell: 10.6719 4.5580 10.3814 Å, 90.00 119.79 90.00°
Last column: nearest neighbours and their distance in Å.
Space group C2/m (No. 12)
Unique sites:
Na: 0.0134 0.0000 0.1917 [4 per cell]  6 As 3.04-3.29, 4 Zn 3.17-3.38
Na: 0.1829 0.0000 0.5981 [4 per cell]  6 As 3.04-3.18, 2 Zn 3.38, 1 Na 3.39
Zn: 0.2136 0.5000 0.8528 [4 per cell]  4 As 2.49-2.66
As: 0.0175 0.5000 0.3880 [4 per cell]  1 Zn 2.49, 1 As 2.53
As: 0.1388 0.5000 0.0557 [4 per cell]  1 As 2.59, 3 Zn 2.60-2.66

Values from the calculation:
ΔE to the lowest computed polymorph (meV/atom): 0



No. 5
Density functional theory data (PBE-GGA) for NaZn4As3 after structural relaxation.

Cell: 4.1390 4.1390 9.9789 Å, 90.00 90.00 90.00°
Last column: nearest neighbours and their distance in Å.
Space group P4/mmm (No. 123)
Unique sites:
Na: 0.0000 0.0000 0.0000 [1 per cell]  8 As 3.47
Zn: 0.0000 0.5000 0.3322 [4 per cell]  4 As 2.53-2.66
As: 0.0000 0.0000 0.5000 [1 per cell]  8 Zn 2.66
As: 0.5000 0.5000 0.1869 [2 per cell]  4 Zn 2.53

Values from the calculation:
ΔE to the lowest computed polymorph (meV/atom): 32



No. 6
Density functional theory data (PBE-GGA) for NaZr2As after structural relaxation.

Cell: 7.9704 7.9704 5.8177 Å, 90.00 90.00 90.00°
Last column: nearest neighbours and their distance in Å.
Space group I-42d (No. 122)
Unique sites:
Na: 0.0000 0.0000 0.0000 [4 per cell]  2 As 2.91, 4 Zr 3.17
Zr: 0.2044 0.7500 0.6250 [8 per cell]  2 As 2.67
As: 0.0000 0.0000 0.5000 [4 per cell]  4 Zr 2.67, 2 Na 2.91



No. 7
Density functional theory data (PBE-GGA) for NaZrAs after structural relaxation.

Cell: 4.3546 4.3546 31.5742 Å, 90.00 90.00 120.00°
Last column: nearest neighbours and their distance in Å.
Space group R-3m (No. 166, hexagonal axes)
Unique sites:
Na: 0.0000 0.0000 0.1157 [6 per cell]  3 As 3.06
Zr: 0.0000 0.0000 0.3025 [6 per cell]  4 As 2.68-2.89
As: 0.0000 0.0000 0.3940 [6 per cell]  4 Zr 2.68-2.89



No. 8
Density functional theory data (PBE-GGA) for Na3ZrAs after structural relaxation.

Cell: 5.4605 5.4605 5.4605 Å, 90.00 90.00 90.00°
Last column: nearest neighbours and their distance in Å.
Space group Pm-3m (No. 221)
Unique sites:
Na: 0.0000 0.0000 0.5000 [3 per cell]  2 As 2.73
Zr: 0.5000 0.5000 0.5000 [1 per cell]  12 Na 3.86
As: 0.0000 0.0000 0.0000 [1 per cell]  6 Na 2.73

Values from the calculation:
ΔE to the lowest computed polymorph (meV/atom): 0



No. 9
Density functional theory data (PBE-GGA) for NaZr2As2 after structural relaxation.

Cell: 7.5449 7.5449 3.5776 Å, 90.00 90.00 90.00°
Last column: nearest neighbours and their distance in Å.
Space group P4/mbm (No. 127)
Unique sites:
Na: 0.0000 0.0000 0.0000 [2 per cell]  4 As 2.88
Zr: 0.1460 0.3540 0.5000 [4 per cell]  6 As 2.84-2.85, 1 Zr 3.12
As: 0.1473 0.6473 0.0000 [4 per cell]  6 Zr 2.84-2.85, 2 Na 2.88, 1 As 3.14

Values from the calculation:
ΔE to the lowest computed polymorph (meV/atom): 0



No. 10
Density functional theory data (PBE-GGA) for NaZr2As2 after structural relaxation.

Cell: 4.5476 4.5476 12.4656 Å, 90.00 90.00 90.00°
Last column: nearest neighbours and their distance in Å.
Space group I4/mmm (No. 139)
Unique sites:
Na: 0.0000 0.0000 0.0000 [2 per cell]  8 As 3.62, 8 Zr 3.86
Zr: 0.0000 0.5000 0.2500 [4 per cell]  4 As 2.70
As: 0.0000 0.0000 0.3667 [4 per cell]  4 Zr 2.70

Values from the calculation:
ΔE to the lowest computed polymorph (meV/atom): 120



No. 11
Density functional theory data (PBE-GGA) for Na3ZrAs after structural relaxation.

Cell: 5.9266 5.9266 5.9266 Å, 90.00 90.00 90.00°
Last column: nearest neighbours and their distance in Å.
Space group Pm-3m (No. 221)
Unique sites:
Na: 0.0000 0.0000 0.5000 [3 per cell]  2 Zr 2.96
Zr: 0.0000 0.0000 0.0000 [1 per cell]  6 Na 2.96
As: 0.5000 0.5000 0.5000 [1 per cell]  12 Na 4.19

Values from the calculation:
ΔE to the lowest computed polymorph (meV/atom): 705



No. 12
Density functional theory data (PBE-GGA) for NaZr2As2 after structural relaxation.

Cell: 5.0752 5.0752 5.3067 Å, 90.00 90.00 90.00°
Last column: nearest neighbours and their distance in Å.
Space group P4/mmm (No. 123)
Unique sites:
Na: 0.0000 0.0000 0.0000 [1 per cell]  4 As 3.59, 8 Zr 3.67
Zr: 0.0000 0.5000 0.5000 [2 per cell]  2 As 2.54
As: 0.5000 0.5000 0.0000 [1 per cell]  2 As 2.65
As: 0.5000 0.5000 0.5000 [1 per cell]  4 Zr 2.54, 2 As 2.65

Values from the calculation:
ΔE to the lowest computed polymorph (meV/atom): 1049



For each record above, in turn, the calculated calculated volume values are 27.740 23.179 21.885 21.913 21.369 23.099 28.806 32.563 20.366 25.780 41.634 27.337 A^3/atom.
For each record above, in turn, the calculated electronic total energy values are -2.6088 -2.7527 -2.9424 -3.0031 -2.7592 -5.6997 -5.3292 -2.7556 -6.2752 -6.1557 -2.0504 -5.2266 eV/atom.